1.
Density functional theory data (PBE) for a relaxed structure of ErTmBe2.

Cell and atoms, written as extended XYZ:
```
4
Lattice="4.751 0.000 0.000 0.000 4.751 0.000 0.000 0.000 3.381" Properties=species:S:1:pos:R:3 pbc="T T T"
Er 0.000 0.000 0.000
Tm 2.376 2.376 0.000
Be 0.000 2.376 1.691
Be 2.376 0.000 1.691
```

Output
Uncorrected energy: -4.051 eV per atom
ΔH_f (0 K): 0.07 eV/atom
Space-group type: P4/mmm (123)
ΔE to the lowest computed polymorph: 1 meV per atom
Spin magnetization: 0.000 μB per cell

2.
Density functional theory data (PBE) for a relaxed structure of Rb2BeCdI6.

Cell and atoms, written as extended XYZ:
```
10
Lattice="-4.386 4.386 5.634 4.386 -4.386 5.634 4.386 4.386 -5.634" Properties=species:S:1:pos:R:3 pbc="T T T"
Rb 4.386 0.000 2.817
Rb 0.000 4.386 2.817
Be 0.000 0.000 0.000
Cd 0.000 0.000 5.634
I 0.000 0.000 2.256
I 2.331 2.331 0.000
I 2.054 -2.054 5.634
I -2.054 2.054 5.634
I 2.054 2.054 5.634
I 0.000 0.000 9.012
```

Output
Uncorrected energy: -2.376 eV per atom
Space-group type: I4/mmm (139)
Spin magnetization: 0.000 μB per cell
Formation energy (no corrections): -0.7887 eV per atom

3.
Density functional theory data (PBE) for a relaxed structure of NiSbOs2.

Cell and atoms, written as extended XYZ:
```
4
Lattice="2.910 0.000 0.000 0.000 2.910 0.000 0.000 0.000 7.350" Properties=species:S:1:pos:R:3 pbc="T T T"
Ni 0.000 0.000 0.000
Sb 1.455 1.455 5.543
Os 0.000 0.000 3.392
Os 1.455 1.455 1.768
```

Output
Uncorrected energy: -7.668 eV per atom
Space-group type: P4mm (99)
Spin magnetization: 0.000 μB per cell
Formation energy (no corrections): 0.4232 eV per atom

4.
Density functional theory data (PBE) for a relaxed structure of Ac12Cu3Ir5.

Cell and atoms, written as extended XYZ:
```
80
Lattice="-9.064 9.064 9.064 9.064 -9.064 9.064 9.064 9.064 -9.064" Properties=species:S:1:pos:R:3 pbc="T T T"
Ac 2.724 -0.473 1.110
Ac 10.872 5.642 -5.005
Ac 11.787 0.473 1.110
Ac 10.872 -3.422 5.005
Ac 8.591 -1.110 2.724
Ac 14.069 -1.808 3.422
Ac 1.110 2.724 -0.473
Ac 12.486 4.059 -1.808
Ac 5.642 5.005 -1.808
Ac 7.954 2.724 0.473
Ac -0.473 1.110 2.724
Ac 5.005 -1.808 5.642
Ac 8.591 7.954 -2.724
Ac 5.005 1.808 3.422
Ac 5.642 -5.005 10.872
Ac 7.954 -2.724 8.591
Ac 3.422 5.005 1.808
Ac 10.174 6.340 0.473
Ac 5.005 10.872 -3.422
Ac 8.591 1.110 6.340
Ac 2.724 8.591 -1.110
Ac 10.872 3.422 4.059
Ac 1.808 3.422 5.005
Ac 2.724 0.473 7.954
Ac 6.340 8.591 1.110
Ac 7.256 5.642 4.059
Ac -1.808 5.642 5.005
Ac 6.340 0.473 10.174
Ac 0.473 7.954 2.724
Ac 4.059 -1.808 12.486
Ac -1.110 2.724 8.591
Ac 5.642 4.059 7.256
Ac 1.110 11.787 0.473
Ac 3.422 14.069 -1.808
Ac 4.059 7.256 5.642
Ac 0.473 1.110 11.787
Ac 4.059 10.872 3.422
Ac 9.537 7.954 6.340
Ac 1.110 6.340 8.591
Ac 3.422 4.059 10.872
Ac -3.422 5.005 10.872
Ac 7.954 6.340 9.537
Ac -5.005 10.872 5.642
Ac 0.473 10.174 6.340
Ac -1.808 12.486 4.059
Ac -2.724 8.591 7.954
Ac -1.808 3.422 14.069
Ac 6.340 9.537 7.954
Cu 4.532 2.266 0.000
Cu 9.064 4.532 -2.266
Cu 2.266 0.000 4.532
Cu 11.330 0.000 4.532
Cu 0.000 4.532 2.266
Cu 4.532 -2.266 9.064
Cu 4.532 11.330 0.000
Cu 9.064 4.532 6.798
Cu -2.266 9.064 4.532
Cu 6.798 9.064 4.532
Cu 0.000 4.532 11.330
Cu 4.532 6.798 9.064
Ir 0.000 0.000 0.000
Ir 4.532 4.532 -4.532
Ir 4.532 -4.532 4.532
Ir 9.064 0.000 0.000
Ir 13.596 2.266 0.000
Ir 9.064 -4.532 6.798
Ir 6.798 9.064 -4.532
Ir 6.798 0.000 4.532
Ir 4.532 6.798 0.000
Ir 9.064 4.532 2.266
Ir -4.532 4.532 4.532
Ir 0.000 9.064 0.000
Ir 0.000 0.000 9.064
Ir 4.532 4.532 4.532
Ir 0.000 4.532 6.798
Ir 4.532 2.266 9.064
Ir 2.266 9.064 4.532
Ir 2.266 0.000 13.596
Ir 0.000 13.596 2.266
Ir -4.532 6.798 9.064
```

Output
Uncorrected energy: -5.470 eV per atom
ΔH_f (0 K): -0.18 eV/atom
Space-group type: Ia-3d (230)
Spin magnetization: 0.000 μB per cell

5.
Density functional theory data (PBE) for a relaxed structure of Ba2LiAg.

Cell and atoms, written as extended XYZ:
```
4
Lattice="-2.504 2.504 6.063 2.504 -2.504 6.063 2.504 2.504 -6.063" Properties=species:S:1:pos:R:3 pbc="T T T"
Ba 0.000 0.000 0.000
Ba 0.000 2.504 3.032
Li 2.504 0.000 3.032
Ag 0.000 0.000 6.063
```

Output
Uncorrected energy: -2.117 eV per atom
ΔH_f (0 K): 0.04 eV/atom
Space-group type: I-4m2 (119)
ΔE to the lowest computed polymorph: 176 meV per atom
Spin magnetization: 0.002 μB per cell

6.
Density functional theory data (PBE) for a relaxed structure of Tb5Zn2Pb.

Cell and atoms, written as extended XYZ:
```
16
Lattice="-4.092 4.092 6.462 4.092 -4.092 6.462 4.092 4.092 -6.462" Properties=species:S:1:pos:R:3 pbc="T T T"
Tb 0.000 0.000 0.000
Tb 5.346 1.254 -1.866
Tb 1.254 2.838 -1.866
Tb 5.346 1.254 1.866
Tb 1.254 2.838 1.866
Tb 0.000 0.000 6.462
Tb 2.838 1.254 4.596
Tb -1.254 2.838 4.596
Tb 2.838 1.254 8.329
Tb -1.254 2.838 8.329
Zn 2.959 1.133 0.000
Zn 2.959 -1.133 6.462
Zn 1.133 5.226 0.000
Zn 1.133 2.959 6.462
Pb 0.000 0.000 3.231
Pb 0.000 0.000 9.694
```

Output
Uncorrected energy: -4.009 eV per atom
ΔH_f (0 K): -0.33 eV/atom
Space-group type: I4/mcm (140)
Spin magnetization: 0.000 μB per cell

7.
Density functional theory data (PBE) for a relaxed structure of MgGaPd6.

Cell and atoms, written as extended XYZ:
```
8
Lattice="3.833 -4.018 0.000 3.833 4.018 0.000 0.000 0.000 3.985" Properties=species:S:1:pos:R:3 pbc="T T T"
Mg 0.000 0.000 0.000
Ga 3.833 0.000 0.000
Pd 1.917 2.009 0.000
Pd 3.833 2.084 1.992
Pd 2.049 0.000 1.992
Pd 1.917 -2.009 0.000
Pd 5.618 0.000 1.992
Pd 3.833 -2.084 1.992
```

Output
Uncorrected energy: -4.934 eV per atom
ΔH_f (0 K): -0.46 eV/atom
Space-group type: Cmmm (65)
ΔE to the lowest computed polymorph: 0 meV per atom
Spin magnetization: 0.000 μB per cell

8.
Density functional theory data (PBE) for a relaxed structure of ZnCrCl2.

Cell and atoms, written as extended XYZ:
```
4
Lattice="1.708 -3.430 0.000 1.708 3.430 0.000 0.000 0.000 10.183" Properties=species:S:1:pos:R:3 pbc="T T T"
Zn 0.000 0.000 0.000
Cr 0.000 0.000 5.092
Cl 1.708 0.000 3.472
Cl 1.708 0.000 6.712
```

Output
Uncorrected energy: -4.078 eV per atom
Space-group type: Cmmm (65)
ΔE to the lowest computed polymorph: 53 meV per atom
Spin magnetization: 4.005 μB per cell
Formation energy (no corrections): -0.4299 eV per atom

What is the uncorrected energy in the third record?
-7.668 eV per atom